Density functional theory data (GGA-PBE) for LiPm5In6 after structural relaxation.

The space group is C2/m (No. 12) and the conventional cell measures 16.9565, 7.6216 and 5.3476 Å, with angles of 90.00, 108.21 and 90.00 degrees. Symmetry generates all atoms from Li at (0.0000, 0.0000, 0.0000), Pm at (0.0000, 0.5000, 0.0000), Pm at (0.1630, 0.5000, 0.6623), Pm at (0.1725, 0.0000, 0.6716), In at (0.0000, 0.2221, 0.5000) and In at (0.1581, 0.2351, 0.1575).

***

Density functional theory data (GGA-PBE) for LiPmIn3 after structural relaxation.

The space group is Pmmn (No. 59, origin choice 2) and the conventional cell measures 4.7034, 7.2169 and 7.3199 Å, with angles of 90.00, 90.00 and 90.00 degrees. Symmetry generates all atoms from Li at (0.2500, 0.2500, 0.0405), Pm at (0.2500, 0.7500, 0.2916), In at (0.2500, 0.2500, 0.4091) and In at (0.2500, 0.5479, 0.8018).

***

Density functional theory data (GGA-PBE) for LiPm3In12 after structural relaxation.

The space group is P4/mmm (No. 123) and the conventional cell measures 4.6872, 4.6872 and 18.4362 Å, with angles of 90.00, 90.00 and 90.00 degrees. Symmetry generates all atoms from Li at (0.0000, 0.0000, 0.0000), Pm at (0.0000, 0.0000, 0.2437), Pm at (0.0000, 0.0000, 0.5000), In at (0.0000, 0.5000, 0.1142), In at (0.0000, 0.5000, 0.3719), In at (0.5000, 0.5000, 0.0000), In at (0.5000, 0.5000, 0.2481) and In at (0.5000, 0.5000, 0.5000).

***

Density functional theory data (GGA-PBE) for LiPmIn4 after structural relaxation.

The space group is F-43m (No. 216) and the conventional cell measures 8.5715, 8.5715 and 8.5715 Å, with angles of 90.00, 90.00 and 90.00 degrees. Symmetry generates all atoms from Li at (0.0000, 0.0000, 0.0000), Pm at (0.2500, 0.2500, 0.7500) and In at (0.1250, 0.1250, 0.3750).

***

Which total energy belongs to each record? In order, -3.963, -3.278, -3.437, -3.133 eV per atom.
Which Fermi-level density of states belongs to each record? In order, 14.91, 5.12, 6.36, 17.19 states/eV per cell.